A relaxed structure of CaAs4P. Source: Alexandria via LeMat-Bulk, functional PBE.

a b c (Å): 7.923 7.923 7.923
angles (deg): 90.00 90.00 90.00
Space group F-43m (No. 216)
Inequivalent atoms, fractional coordinates:
Ca  0.000  0.000  0.000 (multiplicity 4)
As  0.123  0.123  0.377 (multiplicity 16)
P  0.250  0.250  0.750 (multiplicity 4)

Values from the calculation:
The size of the total moment comes out at 0.00 μB/atom. The crystal system is cubic. For the calculated formation energy, the calculation gives 9 kJ per mole of atoms.